Density functional theory data (PBEsol) for MnNbNi2Pd after structural relaxation. Values from VASP.

The structure in Quantum ESPRESSO input format:
```
&SYSTEM
  ibrav = 0, nat = 5, ntyp = 4
/
ATOMIC_SPECIES
Mn 54.94 Mn.upf
Nb 92.91 Nb.upf
Ni 58.69 Ni.upf
Pd 106.42 Pd.upf
ATOMIC_POSITIONS crystal
Mn 0.0000 0.0000 0.0000
Nb 0.5000 0.5000 0.0000
Ni 0.0000 0.5000 0.5000
Ni 0.5000 0.0000 0.5000
Pd 0.5000 0.5000 0.5000
CELL_PARAMETERS angstrom
4.5088 0.0000 0.0000
0.0000 4.5088 0.0000
0.0000 0.0000 4.6344
```

Values from the calculation:
- ΔE_f (meV per atom) = 1448
- uncorrected energy (eV for the cell shown) = -31.61
- calculated volume (Å³/atom) = 18.843
- SG = P4/mmm, No. 123